DFT (GGA+U) results for Li3MnCoO5 after structural relaxation.

Output
relative energy among the computed polymorphs	0.20	eV per formula unit
density	4.1	g/cm³
V	347.2	Å³ per cell

abc: 5.0001 14.4262 5.0992
angles: 90.00 109.27 90.00
Space group C2 (No. 5)
Symmetry-distinct sites (fractional):
Li: 0.0000 0.9997 0.0000 [2 per cell]
Li: 0.0000 0.0936 0.5000 [2 per cell]
Li: 0.0000 0.2984 0.5000 [2 per cell]
Li: 0.0000 0.5000 0.5000 [2 per cell]
Li: 0.0000 0.6962 0.5000 [2 per cell]
Li: 0.0000 0.9038 0.5000 [2 per cell]
Mn: 0.0000 0.5958 0.0000 [2 per cell]
Mn: 0.0000 0.8003 0.0000 [2 per cell]
Co: 0.0000 0.1973 0.0000 [2 per cell]
Co: 0.0000 0.4009 0.0000 [2 per cell]
O: 0.2235 0.5013 0.2365 [4 per cell]
O: 0.2375 0.8895 0.2310 [4 per cell]
O: 0.2431 0.6971 0.2172 [4 per cell]
O: 0.2479 0.6050 0.7799 [4 per cell]
O: 0.2490 0.2962 0.2201 [4 per cell]